No. 1
Here is a relaxed structure of MnV5Fe2Ru2 from Alexandria via LeMat-Bulk. Energies are from GGA-PBE.

Cell lengths 9.3446, 9.3446, 2.9575 Å; angles 90.00, 90.00, 90.00 degrees
Space group P4/mbm (No. 127)
One atom of each set of equivalent atoms:
Mn 0.0000 0.0000 0.0000 [2 per cell]
V 0.0000 0.5000 0.5000 [2 per cell]
V 0.0660 0.1932 0.5000 [8 per cell]
Fe 0.1311 0.3689 0.0000 [4 per cell]
Ru 0.1682 0.6682 0.0000 [4 per cell]

Summary:
DFT formation energy = 52 meV/atom
Uncorrected energy = -179.4 eV for the cell shown
Fermi-level density of states = 20.309 states/eV/cell

***

No. 2
Here is a relaxed structure of K2PPtAu from Alexandria via LeMat-Bulk. Energies are from GGA-PBE.

Cell lengths 6.3400, 6.3400, 4.3442 Å; angles 90.00, 90.00, 90.00 degrees
Space group P4/mmm (No. 123)
One atom of each set of equivalent atoms:
K 0.0000 0.5000 0.0000 [2 per cell]
P 0.0000 0.0000 0.5000 [1 per cell]
Pt 0.0000 0.0000 0.0000 [1 per cell]
Au 0.5000 0.5000 0.5000 [1 per cell]

Summary:
DFT formation energy = -244 meV/atom
Uncorrected energy = -18.1 eV for the cell shown
Fermi-level density of states = 1.887 states/eV/cell

***

No. 3
Here is a relaxed structure of Ca2Y2Bi from Alexandria via LeMat-Bulk. Energies are from GGA-PBE.

Cell lengths 8.1232, 8.1232, 5.5633 Å; angles 90.00, 90.00, 90.00 degrees
Space group P4/mbm (No. 127)
One atom of each set of equivalent atoms:
Ca 0.1576 0.3424 0.0000 [4 per cell]
Y 0.1484 0.6484 0.5000 [4 per cell]
Bi 0.0000 0.0000 0.5000 [2 per cell]

Summary:
DFT formation energy = -152 meV/atom
Uncorrected energy = -43.1 eV for the cell shown
Fermi-level density of states = 11.218 states/eV/cell

***

No. 4
Here is a relaxed structure of Cs2HfBr from Alexandria via LeMat-Bulk. Energies are from GGA-PBE.

Cell lengths 13.5811, 13.5811, 5.2683 Å; angles 90.00, 90.00, 90.00 degrees
Space group I-42d (No. 122)
One atom of each set of equivalent atoms:
Cs 0.0912 0.7500 0.1250 [8 per cell]
Hf 0.0000 0.0000 0.5000 [4 per cell]
Br 0.0000 0.0000 0.0000 [4 per cell]

Summary:
Energy relative to the elements, uncorrected = 0.33 eV per atom
Uncorrected energy = -48.0 eV for the cell shown
Fermi-level density of states = 18.605 states/eV/cell

***

No. 5
Here is a relaxed structure of B2IrRu2 from Alexandria via LeMat-Bulk. Energies are from GGA-PBE.

Cell lengths 6.2575, 6.2575, 2.7784 Å; angles 90.00, 90.00, 90.00 degrees
Space group P4/mbm (No. 127)
One atom of each set of equivalent atoms:
B 0.1441 0.3559 0.0000 [4 per cell]
Ir 0.0000 0.0000 0.0000 [2 per cell]
Ru 0.1546 0.6546 0.5000 [4 per cell]

Summary:
DFT formation energy = 31 meV/atom
Uncorrected energy = -81.2 eV for the cell shown
Fermi-level density of states = 10.763 states/eV/cell

***

No. 6
Here is a relaxed structure of K4Br2N from Alexandria via LeMat-Bulk. Energies are from GGA-PBE.

Cell lengths 5.2604, 5.2604, 17.2921 Å; angles 90.00, 90.00, 90.00 degrees
Space group I4/mmm (No. 139)
One atom of each set of equivalent atoms:
K 0.0000 0.0000 0.1612 [4 per cell]
K 0.0000 0.5000 0.0000 [4 per cell]
Br 0.0000 0.0000 0.3547 [4 per cell]
N 0.0000 0.0000 0.0000 [2 per cell]

Summary:
Energy relative to the elements, uncorrected = -0.72 eV per atom
Uncorrected energy = -42.2 eV for the cell shown
Fermi-level density of states = 1.323 states/eV/cell

***

No. 7
Here is a relaxed structure of LaBIN2 from Alexandria via LeMat-Bulk. Energies are from GGA-PBE.

Cell lengths 4.2124, 4.2124, 4.5063 Å; angles 90.00, 90.00, 90.00 degrees
Space group P4/mmm (No. 123)
One atom of each set of equivalent atoms:
La 0.0000 0.0000 0.0000 [1 per cell]
B 0.5000 0.5000 0.5000 [1 per cell]
I 0.5000 0.5000 0.0000 [1 per cell]
N 0.0000 0.5000 0.5000 [2 per cell]

Summary:
Energy relative to the elements, uncorrected = 1.07 eV per atom
Uncorrected energy = -24.5 eV for the cell shown
Fermi-level density of states = 2.360 states/eV/cell

***

No. 8
Here is a relaxed structure of HfFeW from Alexandria via LeMat-Bulk. Energies are from GGA-PBE.

Cell lengths 8.5838, 11.1048, 6.2097 Å; angles 90.00, 90.00, 90.00 degrees
Space group Ima2 (No. 46)
One atom of each set of equivalent atoms:
Hf 0.2500 0.0021 0.0000 [4 per cell]
Hf 0.2500 0.2045 0.3845 [4 per cell]
Hf 0.2500 0.7128 0.8726 [4 per cell]
Fe 0.0028 0.1697 0.0872 [8 per cell]
Fe 0.2500 0.5173 0.0641 [4 per cell]
W 0.0000 0.0000 0.3357 [4 per cell]
W 0.9997 0.1224 0.7105 [8 per cell]

Summary:
DFT formation energy = -15 meV/atom
Uncorrected energy = -377.0 eV for the cell shown
Fermi-level density of states = 31.770 states/eV/cell

***

No. 9
Here is a relaxed structure of Ca2TbTm from Alexandria via LeMat-Bulk. Energies are from GGA-PBE.

Cell lengths 8.2324, 8.2324, 8.2324 Å; angles 90.00, 90.00, 90.00 degrees
Space group Fm-3m (No. 225)
One atom of each set of equivalent atoms:
Ca 0.2500 0.2500 0.2500 [8 per cell]
Tb 0.0000 0.0000 0.0000 [4 per cell]
Tm 0.0000 0.0000 0.5000 [4 per cell]

Summary:
DFT formation energy = 198 meV/atom
Uncorrected energy = -49.3 eV for the cell shown
Fermi-level density of states = 25.854 states/eV/cell

***

No. 10
Here is a relaxed structure of BaLa2Se from Alexandria via LeMat-Bulk. Energies are from GGA-PBE.

Cell lengths 8.1567, 8.1567, 8.1567 Å; angles 90.00, 90.00, 90.00 degrees
Space group F-43m (No. 216)
One atom of each set of equivalent atoms:
Ba 0.0000 0.0000 0.0000 [4 per cell]
La 0.0000 0.0000 0.5000 [4 per cell]
La 0.2500 0.2500 0.2500 [4 per cell]
Se 0.2500 0.2500 0.7500 [4 per cell]

Summary:
Energy relative to the elements, uncorrected = -0.17 eV per atom
Uncorrected energy = -63.8 eV for the cell shown
Fermi-level density of states = 26.134 states/eV/cell

***

No. 11
Here is a relaxed structure of BeCr2Br from Alexandria via LeMat-Bulk. Energies are from GGA-PBE.

Cell lengths 3.0821, 4.3871, 8.6132 Å; angles 90.00, 90.00, 90.00 degrees
Space group Imm2 (No. 44)
One atom of each set of equivalent atoms:
Be 0.0000 0.0000 0.0000 [2 per cell]
Cr 0.0000 0.0000 0.5123 [2 per cell]
Cr 0.0000 0.5000 0.2616 [2 per cell]
Br 0.0000 0.5000 0.7599 [2 per cell]

Summary:
Energy relative to the elements, uncorrected = 0.74 eV per atom
Uncorrected energy = -43.4 eV for the cell shown
Fermi-level density of states = 5.670 states/eV/cell

***

No. 12
Here is a relaxed structure of NaSrSmPb from Alexandria via LeMat-Bulk. Energies are from GGA-PBE.

Cell lengths 8.0474, 8.0474, 8.0474 Å; angles 90.00, 90.00, 90.00 degrees
Space group F-43m (No. 216)
One atom of each set of equivalent atoms:
Na 0.0000 0.0000 0.0000 [4 per cell]
Sr 0.2500 0.2500 0.2500 [4 per cell]
Sm 0.2500 0.2500 0.7500 [4 per cell]
Pb 0.0000 0.0000 0.5000 [4 per cell]

Summary:
DFT formation energy = -217 meV/atom
Uncorrected energy = -49.2 eV for the cell shown
Fermi-level density of states = 10.475 states/eV/cell

***

No. 13
Here is a relaxed structure of ScC3 from Alexandria via LeMat-Bulk. Energies are from GGA-PBE.

Cell lengths 2.9253, 2.9253, 4.4742 Å; angles 90.00, 90.00, 90.00 degrees
Space group P4/mmm (No. 123)
One atom of each set of equivalent atoms:
Sc 0.0000 0.0000 0.0000 [1 per cell]
C 0.0000 0.0000 0.5000 [1 per cell]
C 0.5000 0.5000 0.3441 [2 per cell]

Summary:
DFT formation energy = 1523 meV/atom
Uncorrected energy = -27.9 eV for the cell shown
Fermi-level density of states = 2.153 states/eV/cell

***

No. 14
Here is a relaxed structure of MgCrPd3 from Alexandria via LeMat-Bulk. Energies are from GGA-PBE.

Cell lengths 4.5959, 4.5959, 4.5959 Å; angles 90.00, 90.00, 90.00 degrees
Space group Pm-3m (No. 221)
One atom of each set of equivalent atoms:
Mg 0.0000 0.0000 0.0000 [1 per cell]
Cr 0.5000 0.5000 0.5000 [1 per cell]
Pd 0.0000 0.5000 0.5000 [3 per cell]

Summary:
DFT formation energy = 558 meV/atom
Uncorrected energy = -24.0 eV for the cell shown
Fermi-level density of states = 5.634 states/eV/cell

***

No. 15
Here is a relaxed structure of BaGaSn2 from Alexandria via LeMat-Bulk. Energies are from GGA-PBE.

Cell lengths 4.7695, 4.7695, 5.2014 Å; angles 90.00, 90.00, 90.00 degrees
Space group P4/mmm (No. 123)
One atom of each set of equivalent atoms:
Ba 0.0000 0.0000 0.0000 [1 per cell]
Ga 0.5000 0.5000 0.0000 [1 per cell]
Sn 0.0000 0.5000 0.5000 [2 per cell]

Summary:
DFT formation energy = -295 meV/atom
Uncorrected energy = -14.1 eV for the cell shown
Fermi-level density of states = 2.030 states/eV/cell

***

No. 16
Here is a relaxed structure of Pr6Ho7Er16 from Alexandria via LeMat-Bulk. Energies are from GGA-PBE.

Cell lengths 15.7458, 15.7458, 15.7458 Å; angles 90.00, 90.00, 90.00 degrees
Space group Fm-3m (No. 225)
One atom of each set of equivalent atoms:
Pr 0.0000 0.0000 0.2285 [24 per cell]
Ho 0.0000 0.0000 0.5000 [4 per cell]
Ho 0.0000 0.2500 0.2500 [24 per cell]
Er 0.1267 0.1267 0.3733 [32 per cell]
Er 0.1513 0.1513 0.1513 [32 per cell]

Summary:
DFT formation energy = 240 meV/atom
Uncorrected energy = -507.1 eV for the cell shown
Fermi-level density of states = 227.573 states/eV/cell